Here is a relaxed structure of Li5Zn4Ni2 from Alexandria via LeMat-Bulk. Energies are from PBE-GGA.

Unit cell a=7.297 b=2.643 c=8.784 alpha=90.00 beta=107.33 gamma=90.00
Positions (direct):
Li: 0.000 0.000 0.000
Li: 0.002 0.000 0.652
Li: 0.361 0.000 0.595
Li: 0.639 0.000 0.405
Li: 0.998 0.000 0.348
Zn: 0.285 0.500 0.294
Zn: 0.291 0.500 0.859
Zn: 0.709 0.500 0.141
Zn: 0.715 0.500 0.706
Ni: 0.405 0.000 0.109
Ni: 0.595 0.000 0.891

- ΔE to the lowest computed polymorph (eV/atom) = 0.022
- size of the total moment (μB/cell) = 0.00
- Fermi-level density of states (states/eV per atom) = 0.320
- E (eV per atom) = -2.532
- formation energy (kcal/mol of atoms) = -3.4
- symmetry = No. 10